Compound: CsMnTe2O8
Source: Alexandria via LeMat-Bulk
Functional: PBE with a Hubbard U
Structure: optimized geometry

POSCAR file:
```
CsMnTe2O8
1.0
5.3063 0.0000 0.0000
2.6531 4.5954 0.0000
2.6531 1.5318 9.5723
O Te Mn Cs
8 2 1 1
Direct
0.2606 0.9733 0.1252
0.2085 0.2085 0.3744
0.0267 0.3590 0.8748
0.9733 0.6410 0.1252
0.7394 0.0267 0.8748
0.6410 0.2606 0.1252
0.3590 0.7394 0.8748
0.7915 0.7915 0.6256
0.2721 0.2721 0.1836
0.7279 0.7279 0.8164
0.0000 0.0000 0.0000
0.5000 0.5000 0.5000
```

Values from the calculation:
* E_tot: -67.2 eV per cell
* SG: R-3, No. 148
* calculated volume: 19.5 Å³ per atom